Record 1
Compound: Nd2SmAg3
Source: Alexandria via LeMat-Bulk
Functional: GGA-PBE
Structure: relaxed

Properties
As for the volume: 157.1 Å³ per cell. The value obtained for the total magnetization is 0.0001 μB per atom. Its energy is -4.068 eV/atom. As for the density of states at the Fermi level: 0.696 states/eV per atom. The formation energy is -0.267 eV/atom.

Geometry as CIF:
```
data_Nd2SmAg3
_chemical_formula_sum 'Nd2 Sm1 Ag3'
_cell_length_a 3.728
_cell_length_b 3.728
_cell_length_c 11.300
_cell_angle_alpha 90.00
_cell_angle_beta 90.00
_cell_angle_gamma 90.00
_symmetry_space_group_name_H-M 'P 4/m m m'
_symmetry_Int_Tables_number 123
_symmetry_space_group_name_Hall '-P 4 2'
loop_
_atom_site_label
_atom_site_type_symbol
_atom_site_fract_x
_atom_site_fract_y
_atom_site_fract_z
Nd1 Nd 0.000 0.000 0.168
Sm1 Sm 0.000 0.000 0.500
Ag1 Ag 0.500 0.500 0.000
Ag2 Ag 0.500 0.500 0.338
```

***

Record 2
Compound: AlRe2Cl
Source: Alexandria via LeMat-Bulk
Functional: GGA-PBE
Structure: relaxed

Properties
As for the volume: 180.8 Å³ per cell. The value obtained for the total magnetization is 0.0002 μB per atom. Its energy is -7.157 eV/atom. For the offset from the most stable computed form, the calculation gives 533 meV per atom. As for the density of states at the Fermi level: 1.210 states/eV per atom.

Geometry as CIF:
```
data_AlRe2Cl
_chemical_formula_sum 'Al3 Re6 Cl3'
_cell_length_a 2.8358
_cell_length_b 2.8358
_cell_length_c 25.9610
_cell_angle_alpha 90.00
_cell_angle_beta 90.00
_cell_angle_gamma 120.00
_symmetry_space_group_name_H-M 'R -3 m'
_symmetry_Int_Tables_number 166
_symmetry_space_group_name_Hall '-R 3 2"'
loop_
_atom_site_label
_atom_site_type_symbol
_atom_site_fract_x
_atom_site_fract_y
_atom_site_fract_z
Al1 Al 0.0000 0.0000 0.0000
Re1 Re 0.0000 0.0000 0.2506
Cl1 Cl 0.0000 0.0000 0.5000
```

***

Record 3
Compound: TlRuCl
Source: Alexandria via LeMat-Bulk
Functional: GGA-PBE
Structure: relaxed

Properties
As for the volume: 71.0 Å³ per cell. The value obtained for the total magnetization is 0.0000 μB per atom. Its energy is -4.146 eV/atom. For the offset from the most stable computed form, the calculation gives 0 meV per atom. As for the density of states at the Fermi level: 0.482 states/eV per atom.

Geometry as CIF:
```
data_TlRuCl
_chemical_formula_sum 'Tl1 Ru1 Cl1'
_cell_length_a 3.3329
_cell_length_b 3.3329
_cell_length_c 7.3825
_cell_angle_alpha 90.00
_cell_angle_beta 90.00
_cell_angle_gamma 120.00
_symmetry_space_group_name_H-M 'P 3 m 1'
_symmetry_Int_Tables_number 156
_symmetry_space_group_name_Hall 'P 3 -2"'
loop_
_atom_site_label
_atom_site_type_symbol
_atom_site_fract_x
_atom_site_fract_y
_atom_site_fract_z
Tl1 Tl 0.0000 0.0000 0.0000
Ru1 Ru 0.6667 0.3333 0.6638
Cl1 Cl 0.3333 0.6667 0.4932
```

***

Record 4
Compound: Te8PtAu2
Source: Alexandria via LeMat-Bulk
Functional: GGA-PBE
Structure: relaxed

Properties
As for the volume: 668.4 Å³ per cell. The value obtained for the total magnetization is 0.0000 μB per atom. Its energy is -3.412 eV/atom. As for the density of states at the Fermi level: 0.437 states/eV per atom.

Geometry as CIF:
```
data_Te8PtAu2
_chemical_formula_sum 'Te16 Pt2 Au4'
_cell_length_a 10.991
_cell_length_b 8.304
_cell_length_c 7.327
_cell_angle_alpha 90.00
_cell_angle_beta 91.87
_cell_angle_gamma 90.00
_symmetry_space_group_name_H-M 'C 1 2/m 1'
_symmetry_Int_Tables_number 12
_symmetry_space_group_name_Hall '-C 2y'
loop_
_atom_site_label
_atom_site_type_symbol
_atom_site_fract_x
_atom_site_fract_y
_atom_site_fract_z
Te1 Te 0.054 0.000 0.331
Te2 Te 0.143 0.239 0.866
Te3 Te 0.164 0.500 0.276
Pt1 Pt 0.000 0.500 0.000
Au1 Au 0.189 0.500 0.647
```

***

Record 5
Compound: InBiBr3
Source: Alexandria via LeMat-Bulk
Functional: GGA-PBE
Structure: relaxed

Properties
As for the volume: 205.3 Å³ per cell. The value obtained for the total magnetization is 0.0000 μB per atom. Its energy is -2.773 eV/atom. For the offset from the most stable computed form, the calculation gives 134 meV per atom. As for the density of states at the Fermi level: 0.464 states/eV per atom.

Geometry as CIF:
```
data_InBiBr3
_chemical_formula_sum 'In1 Bi1 Br3'
_cell_length_a 5.899
_cell_length_b 5.899
_cell_length_c 5.899
_cell_angle_alpha 90.00
_cell_angle_beta 90.00
_cell_angle_gamma 90.00
_symmetry_space_group_name_H-M 'P m -3 m'
_symmetry_Int_Tables_number 221
_symmetry_space_group_name_Hall '-P 4 2 3'
loop_
_atom_site_label
_atom_site_type_symbol
_atom_site_fract_x
_atom_site_fract_y
_atom_site_fract_z
In1 In 0.000 0.000 0.000
Bi1 Bi 0.500 0.500 0.500
Br1 Br 0.000 0.500 0.500
```

***

Record 6
Compound: LuCdHgAu
Source: Alexandria via LeMat-Bulk
Functional: GGA-PBE
Structure: relaxed

Properties
As for the volume: 342.3 Å³ per cell. The value obtained for the total magnetization is 0.0000 μB per atom. Its energy is -2.737 eV/atom. As for the density of states at the Fermi level: 0.461 states/eV per atom. The formation energy is -0.484 eV/atom.

Geometry as CIF:
```
data_LuCdHgAu
_chemical_formula_sum 'Lu4 Cd4 Hg4 Au4'
_cell_length_a 6.995
_cell_length_b 6.995
_cell_length_c 6.995
_cell_angle_alpha 90.00
_cell_angle_beta 90.00
_cell_angle_gamma 90.00
_symmetry_space_group_name_H-M 'F -4 3 m'
_symmetry_Int_Tables_number 216
_symmetry_space_group_name_Hall 'F -4 2 3'
loop_
_atom_site_label
_atom_site_type_symbol
_atom_site_fract_x
_atom_site_fract_y
_atom_site_fract_z
Lu1 Lu 0.000 0.000 0.000
Cd1 Cd 0.000 0.000 0.500
Hg1 Hg 0.250 0.250 0.750
Au1 Au 0.250 0.250 0.250
```

***

Record 7
Compound: CsSmMnSe3
Source: Alexandria via LeMat-Bulk
Functional: GGA-PBE
Structure: relaxed

Properties
As for the volume: 787.3 Å³ per cell. The value obtained for the total magnetization is 0.8334 μB per atom. Its energy is -5.540 eV/atom. For the offset from the most stable computed form, the calculation gives 0 meV per atom.

Geometry as CIF:
```
data_CsSmMnSe3
_chemical_formula_sum 'Cs4 Sm4 Mn4 Se12'
_cell_length_a 4.296
_cell_length_b 16.219
_cell_length_c 11.298
_cell_angle_alpha 90.00
_cell_angle_beta 90.00
_cell_angle_gamma 90.00
_symmetry_space_group_name_H-M 'C m c m'
_symmetry_Int_Tables_number 63
_symmetry_space_group_name_Hall '-C 2c 2'
loop_
_atom_site_label
_atom_site_type_symbol
_atom_site_fract_x
_atom_site_fract_y
_atom_site_fract_z
Cs1 Cs 0.000 0.242 0.250
Sm1 Sm 0.000 0.500 0.000
Mn1 Mn 0.000 0.036 0.750
Se1 Se 0.000 0.117 0.563
Se2 Se 0.000 0.445 0.750
```

***

Record 8
Compound: Hg2TeN2
Source: Alexandria via LeMat-Bulk
Functional: GGA-PBE
Structure: relaxed

Properties
As for the volume: 167.5 Å³ per cell. The value obtained for the total magnetization is 0.0000 μB per atom. Its energy is -4.011 eV/atom. For the offset from the most stable computed form, the calculation gives 0 meV per atom. As for the density of states at the Fermi level: 0.179 states/eV per atom.

Geometry as CIF:
```
data_Hg2TeN2
_chemical_formula_sum 'Hg2 Te1 N2'
_cell_length_a 3.053
_cell_length_b 5.036
_cell_length_c 10.905
_cell_angle_alpha 89.98
_cell_angle_beta 89.45
_cell_angle_gamma 87.24
_symmetry_space_group_name_H-M 'P -1'
_symmetry_Int_Tables_number 2
_symmetry_space_group_name_Hall '-P 1'
loop_
_atom_site_label
_atom_site_type_symbol
_atom_site_fract_x
_atom_site_fract_y
_atom_site_fract_z
Hg1 Hg 0.006 0.000 0.317
Te1 Te 0.000 0.500 0.500
N1 N 0.491 0.611 0.000
```

***

Record 9
Compound: LaMo2Au
Source: Alexandria via LeMat-Bulk
Functional: GGA-PBE
Structure: relaxed

Properties
As for the volume: 162.2 Å³ per cell. The value obtained for the total magnetization is 0.0000 μB per atom. Its energy is -6.973 eV/atom. For the offset from the most stable computed form, the calculation gives 403 meV per atom. As for the density of states at the Fermi level: 1.123 states/eV per atom. The formation energy is 0.494 eV/atom.

Geometry as CIF:
```
data_LaMo2Au
_chemical_formula_sum 'La2 Mo4 Au2'
_cell_length_a 2.853
_cell_length_b 5.275
_cell_length_c 10.778
_cell_angle_alpha 90.00
_cell_angle_beta 90.00
_cell_angle_gamma 90.00
_symmetry_space_group_name_H-M 'I m m m'
_symmetry_Int_Tables_number 71
_symmetry_space_group_name_Hall '-I 2 2'
loop_
_atom_site_label
_atom_site_type_symbol
_atom_site_fract_x
_atom_site_fract_y
_atom_site_fract_z
La1 La 0.000 0.000 0.000
Mo1 Mo 0.000 0.500 0.231
Au1 Au 0.000 0.000 0.500
```

***

Record 10
Compound: Sr2CdTe
Source: Alexandria via LeMat-Bulk
Functional: GGA-PBE
Structure: relaxed

Properties
As for the volume: 286.3 Å³ per cell. The value obtained for the total magnetization is 0.0000 μB per atom. Its energy is -2.598 eV/atom. For the offset from the most stable computed form, the calculation gives 150 meV per atom. As for the density of states at the Fermi level: 0.579 states/eV per atom.

Geometry as CIF:
```
data_Sr2CdTe
_chemical_formula_sum 'Sr4 Cd2 Te2'
_cell_length_a 4.753
_cell_length_b 4.753
_cell_length_c 12.676
_cell_angle_alpha 90.00
_cell_angle_beta 90.00
_cell_angle_gamma 90.00
_symmetry_space_group_name_H-M 'I -4 m 2'
_symmetry_Int_Tables_number 119
_symmetry_space_group_name_Hall 'I -4 -2'
loop_
_atom_site_label
_atom_site_type_symbol
_atom_site_fract_x
_atom_site_fract_y
_atom_site_fract_z
Sr1 Sr 0.000 0.000 0.000
Sr2 Sr 0.000 0.500 0.250
Cd1 Cd 0.000 0.000 0.500
Te1 Te 0.000 0.500 0.750
```

***

Q: energy of number 4 (Te8PtAu2)?
A: -3.412 eV/atom

***

Q: The lowest energy belongs to which entry?
A: AlRe2Cl

***

Q: Among the records above, which one has the highest energy?
A: Sr2CdTe

***

Q: Look up the energy of the third one.
A: -4.146 eV/atom